First-principles (PBE-GGA) data for CsSrZnO2 after structural relaxation, as listed in Alexandria.

a = 8.262 Å, b = 6.250 Å, c = 7.442 Å
α = 90.00°, β = 115.65°, γ = 90.00°
Fractional positions:
Cs 0.000 0.208 0.250
Cs 0.000 0.792 0.750
Sr 0.500 0.499 0.750
Sr 0.500 0.501 0.250
Zn 0.500 0.000 0.000
Zn 0.500 0.000 0.500
O 0.404 0.266 0.453
O 0.404 0.734 0.953
O 0.596 0.266 0.047
O 0.596 0.734 0.547

Summary:
* VASP energy: -42.6 eV per cell
* symmetry: P2/c, No. 13
* uncorrected formation energy: -1.513 eV/atom

=====

First-principles (PBE-GGA) data for CsSr2ZnO after structural relaxation, as listed in Alexandria.

a = 6.762 Å, b = 6.762 Å, c = 4.608 Å
α = 90.00°, β = 90.00°, γ = 90.00°
Fractional positions:
Cs 0.000 0.000 0.000
Sr 0.000 0.500 0.000
Sr 0.500 0.000 0.000
Zn 0.500 0.500 0.500
O 0.000 0.000 0.500

Summary:
* VASP energy: -8.7 eV per cell
* symmetry: P4/mmm, No. 123
* uncorrected formation energy: 0.346 eV/atom

=====

First-principles (PBE-GGA) data for CsTa2O after structural relaxation, as listed in Alexandria.

a = 6.625 Å, b = 6.625 Å, c = 6.625 Å
α = 60.00°, β = 60.00°, γ = 60.00°
Fractional positions:
Cs 0.125 0.125 0.125
Cs 0.875 0.875 0.875
Ta 0.000 0.500 0.500
Ta 0.500 0.000 0.500
Ta 0.500 0.500 0.000
Ta 0.500 0.500 0.500
O 0.375 0.375 0.375
O 0.625 0.625 0.625

Summary:
* VASP energy: -56.4 eV per cell
* symmetry: Fd-3m, No. 227
* uncorrected formation energy: 0.330 eV/atom

=====

First-principles (PBE-GGA) data for CsTaO3 after structural relaxation, as listed in Alexandria.

a = 9.352 Å, b = 5.292 Å, c = 7.425 Å
α = 90.00°, β = 102.52°, γ = 90.00°
Fractional positions:
Cs 0.144 0.172 0.195
Cs 0.144 0.328 0.695
Cs 0.856 0.672 0.305
Cs 0.856 0.828 0.805
Ta 0.418 0.739 0.564
Ta 0.418 0.761 0.064
Ta 0.582 0.239 0.936
Ta 0.582 0.261 0.436
O 0.230 0.651 0.047
O 0.230 0.849 0.547
O 0.367 0.073 0.944
O 0.367 0.427 0.444
O 0.454 0.580 0.827
O 0.454 0.920 0.327
O 0.546 0.080 0.673
O 0.546 0.420 0.173
O 0.633 0.573 0.556
O 0.633 0.927 0.056
O 0.770 0.151 0.453
O 0.770 0.349 0.953

Summary:
* VASP energy: -160.7 eV per cell
* symmetry: P2_1/c, No. 14
* uncorrected formation energy: -2.521 eV/atom

=====

First-principles (PBE-GGA) data for CsTa2O7 after structural relaxation, as listed in Alexandria.

a = 6.481 Å, b = 6.481 Å, c = 3.936 Å
α = 90.00°, β = 90.00°, γ = 116.03°
Fractional positions:
Cs 0.000 0.000 0.000
Ta 0.323 0.677 0.500
Ta 0.677 0.323 0.500
O 0.019 0.369 0.500
O 0.317 0.683 0.000
O 0.369 0.019 0.500
O 0.500 0.500 0.500
O 0.631 0.981 0.500
O 0.683 0.317 0.000
O 0.981 0.631 0.500

Summary:
* VASP energy: -79.8 eV per cell
* symmetry: Cmmm, No. 65
* uncorrected formation energy: -2.056 eV/atom

=====

First-principles (PBE-GGA) data for Cs2TaO after structural relaxation, as listed in Alexandria.

a = 13.896 Å, b = 13.896 Å, c = 3.959 Å
α = 90.00°, β = 90.00°, γ = 90.00°
Fractional positions:
Cs 0.052 0.250 0.125
Cs 0.250 0.552 0.375
Cs 0.250 0.948 0.875
Cs 0.448 0.250 0.625
Cs 0.552 0.750 0.625
Cs 0.750 0.052 0.875
Cs 0.750 0.448 0.375
Cs 0.948 0.750 0.125
Ta 0.000 0.000 0.500
Ta 0.000 0.500 0.750
Ta 0.500 0.000 0.250
Ta 0.500 0.500 0.000
O 0.000 0.000 0.000
O 0.000 0.500 0.250
O 0.500 0.000 0.750
O 0.500 0.500 0.500

Summary:
* energy above the most stable polymorph in this dataset: 0.0 meV/atom
* VASP energy: -78.4 eV per cell
* symmetry: I-42d, No. 122
* uncorrected formation energy: -0.271 eV/atom

=====

First-principles (PBE-GGA) data for Cs3Ta5O14 after structural relaxation, as listed in Alexandria.

a = 7.535 Å, b = 26.701 Å, c = 7.492 Å
α = 90.00°, β = 90.00°, γ = 90.00°
Fractional positions:
Cs 0.175 0.121 0.000
Cs 0.175 0.209 0.500
Cs 0.245 0.475 0.000
Cs 0.255 0.975 0.000
Cs 0.325 0.621 0.000
Cs 0.325 0.709 0.500
Cs 0.675 0.291 0.500
Cs 0.675 0.379 0.000
Cs 0.745 0.025 0.000
Cs 0.755 0.525 0.000
Cs 0.825 0.791 0.500
Cs 0.825 0.879 0.000
Ta 0.066 0.946 0.500
Ta 0.080 0.557 0.500
Ta 0.086 0.747 0.000
Ta 0.172 0.348 0.246
Ta 0.172 0.348 0.754
Ta 0.328 0.848 0.246
Ta 0.328 0.848 0.754
Ta 0.414 0.247 0.000
Ta 0.420 0.057 0.500
Ta 0.434 0.446 0.500
Ta 0.566 0.554 0.500
Ta 0.580 0.943 0.500
Ta 0.586 0.753 0.000
Ta 0.672 0.152 0.246
Ta 0.672 0.152 0.754
Ta 0.828 0.652 0.246
Ta 0.828 0.652 0.754
Ta 0.914 0.253 0.000
Ta 0.920 0.443 0.500
Ta 0.934 0.054 0.500
O 0.000 0.000 0.325
O 0.000 0.000 0.675
O 0.020 0.591 0.293
O 0.020 0.591 0.707
O 0.031 0.697 0.186
O 0.031 0.697 0.814
O 0.145 0.331 0.500
O 0.151 0.799 0.191
O 0.151 0.799 0.809
O 0.154 0.902 0.311
O 0.154 0.902 0.689
O 0.158 0.228 0.000
O 0.160 0.484 0.500
O 0.165 0.373 0.000
O 0.173 0.080 0.500
O 0.327 0.580 0.500
O 0.335 0.873 0.000
O 0.340 0.984 0.500
O 0.342 0.728 0.000
O 0.346 0.402 0.311
O 0.346 0.402 0.689
O 0.349 0.299 0.191
O 0.349 0.299 0.809
O 0.355 0.831 0.500
O 0.469 0.197 0.186
O 0.469 0.197 0.814
O 0.480 0.091 0.293
O 0.480 0.091 0.707
O 0.500 0.500 0.325
O 0.500 0.500 0.675
O 0.520 0.909 0.293
O 0.520 0.909 0.707
O 0.531 0.803 0.186
O 0.531 0.803 0.814
O 0.645 0.169 0.500
O 0.651 0.701 0.191
O 0.651 0.701 0.809
O 0.654 0.598 0.311
O 0.654 0.598 0.689
O 0.658 0.272 0.000
O 0.660 0.016 0.500
O 0.665 0.127 0.000
O 0.673 0.420 0.500
O 0.827 0.920 0.500
O 0.835 0.627 0.000
O 0.840 0.516 0.500
O 0.842 0.772 0.000
O 0.846 0.098 0.311
O 0.846 0.098 0.689
O 0.849 0.201 0.191
O 0.849 0.201 0.809
O 0.855 0.669 0.500
O 0.969 0.303 0.186
O 0.969 0.303 0.814
O 0.980 0.409 0.293
O 0.980 0.409 0.707

Summary:
* VASP energy: -766.1 eV per cell
* symmetry: Pbam, No. 55
* uncorrected formation energy: -2.741 eV/atom

=====

First-principles (PBE-GGA) data for CsTaO3 after structural relaxation, as listed in Alexandria.

a = 12.047 Å, b = 12.047 Å, c = 4.051 Å
α = 98.52°, β = 98.52°, γ = 19.04°
Fractional positions:
Cs 0.084 0.084 0.323
Cs 0.916 0.916 0.677
Ta 0.307 0.307 0.103
Ta 0.693 0.693 0.897
O 0.211 0.211 0.954
O 0.306 0.306 0.566
O 0.386 0.386 0.139
O 0.614 0.614 0.861
O 0.694 0.694 0.434
O 0.789 0.789 0.046

Summary:
* VASP energy: -80.4 eV per cell
* symmetry: C2/m, No. 12
* uncorrected formation energy: -2.521 eV/atom

=====

First-principles (PBE-GGA) data for Cs3TaO after structural relaxation, as listed in Alexandria.

a = 5.985 Å, b = 5.985 Å, c = 5.985 Å
α = 90.00°, β = 90.00°, γ = 90.00°
Fractional positions:
Cs 0.000 0.000 0.500
Cs 0.000 0.500 0.000
Cs 0.500 0.000 0.000
Ta 0.500 0.500 0.500
O 0.000 0.000 0.000

Summary:
* VASP energy: -15.9 eV per cell
* symmetry: Pm-3m, No. 221
* uncorrected formation energy: 0.687 eV/atom

=====

First-principles (PBE-GGA) data for Cs4TaO4 after structural relaxation, as listed in Alexandria.

a = 7.747 Å, b = 7.747 Å, c = 10.117 Å
α = 90.00°, β = 90.00°, γ = 90.00°
Fractional positions:
Cs 0.013 0.250 0.071
Cs 0.250 0.013 0.571
Cs 0.250 0.487 0.571
Cs 0.487 0.250 0.071
Cs 0.513 0.750 0.929
Cs 0.750 0.513 0.429
Cs 0.750 0.987 0.429
Cs 0.987 0.750 0.929
Ta 0.250 0.750 0.250
Ta 0.750 0.250 0.750
O 0.056 0.750 0.363
O 0.250 0.556 0.137
O 0.250 0.944 0.137
O 0.444 0.750 0.363
O 0.556 0.250 0.637
O 0.750 0.056 0.863
O 0.750 0.444 0.863
O 0.944 0.250 0.637

Summary:
* VASP energy: -104.3 eV per cell
* symmetry: P4_2/nmc, No. 137
* uncorrected formation energy: -1.892 eV/atom

=====

First-principles (PBE-GGA) data for Cs2TaO after structural relaxation, as listed in Alexandria.

a = 7.955 Å, b = 7.955 Å, c = 7.955 Å
α = 90.00°, β = 90.00°, γ = 90.00°
Fractional positions:
Cs 0.250 0.250 0.250
Cs 0.250 0.250 0.750
Cs 0.250 0.750 0.250
Cs 0.250 0.750 0.750
Cs 0.750 0.250 0.250
Cs 0.750 0.250 0.750
Cs 0.750 0.750 0.250
Cs 0.750 0.750 0.750
Ta 0.000 0.000 0.000
Ta 0.000 0.500 0.500
Ta 0.500 0.000 0.500
Ta 0.500 0.500 0.000
O 0.000 0.000 0.500
O 0.000 0.500 0.000
O 0.500 0.000 0.000
O 0.500 0.500 0.500

Summary:
* energy above the most stable polymorph in this dataset: 1723.0 meV/atom
* VASP energy: -50.8 eV per cell
* symmetry: Fm-3m, No. 225
* uncorrected formation energy: 1.452 eV/atom

=====

First-principles (PBE-GGA) data for Cs8Ta6O19 after structural relaxation, as listed in Alexandria.

a = 10.032 Å, b = 10.032 Å, c = 10.032 Å
α = 119.19°, β = 119.19°, γ = 91.41°
Fractional positions:
Cs 0.064 0.428 0.198
Cs 0.134 0.936 0.365
Cs 0.230 0.866 0.802
Cs 0.428 0.230 0.365
Cs 0.572 0.770 0.635
Cs 0.770 0.134 0.198
Cs 0.866 0.064 0.635
Cs 0.936 0.572 0.802
Ta 0.289 0.394 0.683
Ta 0.332 0.332 0.000
Ta 0.394 0.711 0.105
Ta 0.606 0.289 0.895
Ta 0.668 0.668 0.000
Ta 0.711 0.606 0.317
O 0.135 0.300 0.435
O 0.186 0.269 0.737
O 0.201 0.201 0.000
O 0.240 0.583 0.823
O 0.269 0.532 0.083
O 0.300 0.865 0.165
O 0.417 0.240 0.658
O 0.449 0.186 0.917
O 0.468 0.551 0.737
O 0.500 0.500 0.000
O 0.532 0.449 0.263
O 0.551 0.814 0.083
O 0.583 0.760 0.342
O 0.700 0.135 0.835
O 0.731 0.468 0.917
O 0.760 0.417 0.177
O 0.799 0.799 0.000
O 0.814 0.731 0.263
O 0.865 0.700 0.565

Summary:
* VASP energy: -256.2 eV per cell
* symmetry: I4/m, No. 87
* uncorrected formation energy: -2.546 eV/atom